--- w ---
Density functional theory data (PBE) for crystalline Ag5Cl3 at its relaxed geometry.

Cell: 7.8767 7.8767 6.7859 Å, 90.00 90.00 120.00°
With the nearest neighbours (Å) after each atom.
Element x y z (fractional)
Ag  0.3333  0.6667  0.0000  6 Cl 2.84
Ag  0.6667  0.3333  0.5000  6 Cl 2.84
Ag  0.6667  0.3333  0.0000  6 Cl 2.84
Ag  0.3333  0.6667  0.5000  6 Cl 2.84
Ag  0.1967  0.0000  0.2500  1 Cl 2.53, 2 Ag 2.68
Ag  0.8033  0.0000  0.7500  1 Cl 2.53, 2 Ag 2.68
Ag  0.0000  0.1967  0.2500  1 Cl 2.53, 2 Ag 2.68
Ag  0.8033  0.8033  0.2500  1 Cl 2.53, 2 Ag 2.68
Ag  0.1967  0.1967  0.7500  1 Cl 2.53, 2 Ag 2.68
Ag  0.0000  0.8033  0.7500  1 Cl 2.53, 2 Ag 2.68
Cl  0.5183  0.0000  0.2500  1 Ag 2.53
Cl  0.4817  0.0000  0.7500  1 Ag 2.53
Cl  0.0000  0.5183  0.2500  1 Ag 2.53
Cl  0.4817  0.4817  0.2500  1 Ag 2.53
Cl  0.5183  0.5183  0.7500  1 Ag 2.53
Cl  0.0000  0.4817  0.7500  1 Ag 2.53

Summary:
**DOS at the Fermi energy**: 1.3 states/eV/f.u.
**Total magnetic moment**: 0.00 μB/f.u.

--- x ---
Density functional theory data (PBE) for crystalline Ag5Cl3 at its relaxed geometry.

Cell: 7.0692 7.0692 4.1989 Å, 90.00 90.00 122.25°
With the nearest neighbours (Å) after each atom.
Element x y z (fractional)
Ag  0.0000  0.0000  0.0000  4 Ag 2.68
Ag  0.0000  0.5000  0.0000  4 Cl 2.72
Ag  0.5000  0.0000  0.0000  4 Cl 2.72
Ag  0.2441  0.2441  0.5000  2 Ag 2.68, 2 Cl 2.73
Ag  0.7559  0.7559  0.5000  2 Ag 2.68, 2 Cl 2.73
Cl  0.5000  0.5000  0.0000  4 Ag 2.73
Cl  0.7286  0.2714  0.5000  4 Ag 2.72
Cl  0.2714  0.7286  0.5000  4 Ag 2.72

Summary:
**DOS at the Fermi energy**: 0.2 states/eV/f.u.
**Total magnetic moment**: 0.00 μB/f.u.

Most stable structure, least stable structure: w, x.

--- w ---
Density functional theory data (PBE) for crystalline Ag4Cl5 at its relaxed geometry.

Cell: 4.4429 7.3928 7.3928 Å, 104.40 95.87 95.87°
With the nearest neighbours (Å) after each atom.
Element x y z (fractional)
Ag  0.3108  0.6796  0.6617  3 Cl 2.44-2.64
Ag  0.3108  0.9950  0.3462  3 Cl 2.44-2.64
Ag  0.6892  0.6538  0.0050  3 Cl 2.44-2.64
Ag  0.6892  0.3383  0.3204  3 Cl 2.44-2.64
Cl  0.0000  0.9588  0.0412  2 Ag 2.46
Cl  0.0000  0.3745  0.6255  2 Ag 2.46
Cl  0.0000  0.6667  0.3333  4 Ag 2.64
Cl  0.4210  0.3556  0.0223  2 Ag 2.44
Cl  0.5790  0.9777  0.6444  2 Ag 2.44

Summary:
**DOS at the Fermi energy**: 4.1 states/eV/f.u.
**Total magnetic moment**: 0.00 μB/f.u.

--- x ---
Density functional theory data (PBE) for crystalline Ag4Cl5 at its relaxed geometry.

Cell: 4.1012 6.8185 8.4414 Å, 94.20 79.81 82.74°
With the nearest neighbours (Å) after each atom.
Element x y z (fractional)
Ag  0.3233  0.2684  0.0921  4 Cl 2.55-2.63
Ag  0.6767  0.7316  0.9079  4 Cl 2.55-2.63
Ag  0.6856  0.2246  0.5824  4 Cl 2.48-2.75
Ag  0.3144  0.7754  0.4176  4 Cl 2.48-2.75
Cl  0.0000  0.0000  0.0000  2 Ag 2.55
Cl  0.6358  0.5627  0.1757  3 Ag 2.48-2.63
Cl  0.3642  0.4373  0.8243  3 Ag 2.48-2.63
Cl  0.2450  0.1754  0.3851  4 Ag 2.55-2.75
Cl  0.7550  0.8246  0.6149  4 Ag 2.55-2.75

Summary:
**DOS at the Fermi energy**: 5.0 states/eV/f.u.
**Total magnetic moment**: 0.00 μB/f.u.

Most stable structure, least stable structure: x, w.

--- w ---
Density functional theory data (PBE) for crystalline CoAg2Cl5 at its relaxed geometry.

Cell: 4.7128 7.0752 12.4283 Å, 90.00 90.00 109.45°
With the nearest neighbours (Å) after each atom.
Element x y z (fractional)
Co  0.8196  0.6391  0.7500  6 Cl 2.23-2.38
Co  0.1804  0.3609  0.2500  6 Cl 2.23-2.38
Ag  0.8639  0.7278  0.4293  4 Cl 2.57-2.72
Ag  0.8639  0.7278  0.0707  4 Cl 2.57-2.72
Ag  0.1361  0.2722  0.5707  4 Cl 2.57-2.72
Ag  0.1361  0.2722  0.9293  4 Cl 2.57-2.72
Cl  0.9386  0.8771  0.8765  1 Co 2.23
Cl  0.9386  0.8771  0.6235  1 Co 2.23
Cl  0.3017  0.6034  0.3813  1 Co 2.30, 2 Ag 2.57
Cl  0.3017  0.6034  0.1187  1 Co 2.30, 2 Ag 2.57
Cl  0.7044  0.4088  0.2500  2 Co 2.38
Cl  0.2956  0.5912  0.7500  2 Co 2.38
Cl  0.6983  0.3966  0.6187  1 Co 2.30, 2 Ag 2.57
Cl  0.6983  0.3966  0.8813  1 Co 2.30, 2 Ag 2.57
Cl  0.0614  0.1229  0.1235  1 Co 2.23
Cl  0.0614  0.1229  0.3765  1 Co 2.23

Summary:
**DOS at the Fermi energy**: 8.1 states/eV/f.u.
**Total magnetic moment**: 0.42 μB/f.u.

--- x ---
Density functional theory data (PBE) for crystalline CoAg2Cl5 at its relaxed geometry.

Cell: 7.8087 11.1694 10.9978 Å, 90.00 90.00 90.00°
With the nearest neighbours (Å) after each atom.
Element x y z (fractional)
Co  0.0000  0.2538  0.2617  4 Cl 2.20-2.24
Co  0.5000  0.2462  0.7617  4 Cl 2.20-2.24
Co  0.5000  0.7538  0.2383  4 Cl 2.20-2.24
Co  0.0000  0.7462  0.7383  4 Cl 2.20-2.24
Ag  0.2430  0.0000  0.0000  4 Cl 2.58-2.67
Ag  0.7570  0.0000  0.0000  4 Cl 2.58-2.67
Ag  0.0000  0.1254  0.6450  5 Cl 2.52-2.73
Ag  0.5000  0.3746  0.1450  5 Cl 2.52-2.73
Ag  0.2570  0.5000  0.5000  4 Cl 2.58-2.67
Ag  0.7430  0.5000  0.5000  4 Cl 2.58-2.67
Ag  0.5000  0.6254  0.8550  5 Cl 2.52-2.73
Ag  0.0000  0.8746  0.3550  5 Cl 2.52-2.73
Cl  0.0000  0.0930  0.8714  3 Ag 2.52-2.58
Cl  0.5000  0.0675  0.8547  1 Co 2.24
Cl  0.0000  0.1140  0.4042  1 Co 2.21
Cl  0.2263  0.2338  0.1439  1 Co 2.20
Cl  0.7737  0.2338  0.1439  1 Co 2.20
Cl  0.2737  0.2662  0.6439  1 Co 2.20
Cl  0.7263  0.2662  0.6439  1 Co 2.20
Cl  0.5000  0.3860  0.9042  1 Co 2.21
Cl  0.0000  0.4325  0.3547  1 Co 2.24
Cl  0.5000  0.4070  0.3714  3 Ag 2.52-2.58
Cl  0.5000  0.5930  0.6286  3 Ag 2.52-2.58
Cl  0.0000  0.5675  0.6453  1 Co 2.24
Cl  0.5000  0.6140  0.0958  1 Co 2.21
Cl  0.2737  0.7338  0.3561  1 Co 2.20
Cl  0.7263  0.7338  0.3561  1 Co 2.20
Cl  0.2263  0.7662  0.8561  1 Co 2.20
Cl  0.7737  0.7662  0.8561  1 Co 2.20
Cl  0.0000  0.8860  0.5958  1 Co 2.21
Cl  0.5000  0.9325  0.1453  1 Co 2.24
Cl  0.0000  0.9070  0.1286  3 Ag 2.52-2.58

Summary:
**DOS at the Fermi energy**: 6.6 states/eV/f.u.
**Total magnetic moment**: 3.91 μB/f.u.

Most stable structure, least stable structure: x, w.

--- w ---
Density functional theory data (PBE) for crystalline CoAgCl3 at its relaxed geometry.

Cell: 3.7535 6.5113 10.9593 Å, 90.00 99.86 90.00°
With the nearest neighbours (Å) after each atom.
Element x y z (fractional)
Co  0.8883  0.9381  0.7766  4 Cl 2.23-2.28
Co  0.1117  0.4381  0.2234  4 Cl 2.23-2.28
Ag  0.3155  0.4683  0.6310  5 Cl 2.66-2.77
Ag  0.6845  0.9683  0.3690  5 Cl 2.66-2.77
Cl  0.8823  0.2807  0.7646  1 Co 2.23
Cl  0.1177  0.7807  0.2354  1 Co 2.23
Cl  0.5605  0.3330  0.1211  2 Co 2.28
Cl  0.4395  0.8330  0.8789  2 Co 2.28
Cl  0.7950  0.7740  0.5899  1 Co 2.28
Cl  0.2050  0.2740  0.4101  1 Co 2.28

Summary:
**DOS at the Fermi energy**: 0.3 states/eV/f.u.
**Total magnetic moment**: 3.00 μB/f.u.

--- x ---
Density functional theory data (PBE) for crystalline CoAgCl3 at its relaxed geometry.

Cell: 4.7398 4.7398 4.7398 Å, 90.00 90.00 90.00°
With the nearest neighbours (Å) after each atom.
Element x y z (fractional)
Co  0.0000  0.0000  0.0000  6 Cl 2.37
Ag  0.5000  0.5000  0.5000  12 Cl 3.35
Cl  0.0000  0.5000  0.0000  2 Co 2.37
Cl  0.0000  0.0000  0.5000  2 Co 2.37
Cl  0.5000  0.0000  0.0000  2 Co 2.37

Summary:
**DOS at the Fermi energy**: 11.8 states/eV/f.u.
**Total magnetic moment**: 2.37 μB/f.u.

--- y ---
Density functional theory data (PBE) for crystalline CoAgCl3 at its relaxed geometry.

Cell: 5.0276 5.0276 5.0276 Å, 90.00 90.00 90.00°
With the nearest neighbours (Å) after each atom.
Element x y z (fractional)
Co  0.5000  0.5000  0.5000  12 Cl 3.56
Ag  0.0000  0.0000  0.0000  6 Cl 2.51
Cl  0.0000  0.5000  0.0000  2 Ag 2.51
Cl  0.0000  0.0000  0.5000  2 Ag 2.51
Cl  0.5000  0.0000  0.0000  2 Ag 2.51

Summary:
**DOS at the Fermi energy**: 10.5 states/eV/f.u.
**Total magnetic moment**: 2.38 μB/f.u.

Most stable structure, least stable structure: w, y.

--- w ---
Density functional theory data (PBE) for crystalline CoAg5Cl8 at its relaxed geometry.

Cell: 7.7850 7.7850 7.7850 Å, 105.28 105.28 118.22°
With the nearest neighbours (Å) after each atom.
Element x y z (fractional)
Co  0.2500  0.7500  0.5000  4 Cl 2.23
Ag  0.8449  0.3570  0.9719  4 Cl 2.58-2.88
Ag  0.6430  0.6149  0.4879  4 Cl 2.58-2.88
Ag  0.3851  0.8730  0.0281  4 Cl 2.58-2.88
Ag  0.5000  0.5000  0.0000  4 Cl 2.61
Ag  0.1270  0.1551  0.5121  4 Cl 2.58-2.88
Cl  0.1695  0.8451  0.2596  1 Co 2.23
Cl  0.1549  0.4146  0.3244  1 Co 2.23
Cl  0.7072  0.8738  0.3150  4 Ag 2.58-2.88
Cl  0.1262  0.4413  0.8335  4 Ag 2.58-2.88
Cl  0.6078  0.2928  0.1665  4 Ag 2.58-2.88
Cl  0.0901  0.8305  0.6756  1 Co 2.23
Cl  0.5854  0.9099  0.7404  1 Co 2.23
Cl  0.5587  0.3922  0.6850  4 Ag 2.58-2.88

Summary:
**DOS at the Fermi energy**: 9.2 states/eV/f.u.
**Total magnetic moment**: 3.75 μB/f.u.

--- x ---
Density functional theory data (PBE) for crystalline CoAg5Cl8 at its relaxed geometry.

Cell: 7.8202 7.8202 7.8202 Å, 60.00 60.00 60.00°
With the nearest neighbours (Å) after each atom.
Element x y z (fractional)
Co  0.2500  0.2500  0.2500  4 Cl 2.27
Ag  0.0000  0.0000  0.0000  4 Cl 2.52
Ag  0.6261  0.6261  0.1216  6 Cl 2.68-2.85
Ag  0.6261  0.6261  0.6261  6 Cl 2.68-2.85
Ag  0.1216  0.6261  0.6261  6 Cl 2.68-2.85
Ag  0.6261  0.1216  0.6261  6 Cl 2.68-2.85
Cl  0.3684  0.8948  0.3684  1 Co 2.27
Cl  0.8948  0.3684  0.3684  1 Co 2.27
Cl  0.3684  0.3684  0.3684  1 Co 2.27
Cl  0.3684  0.3684  0.8948  1 Co 2.27
Cl  0.8685  0.8685  0.3944  4 Ag 2.52-2.68
Cl  0.3944  0.8685  0.8685  4 Ag 2.52-2.68
Cl  0.8685  0.8685  0.8685  4 Ag 2.52-2.68
Cl  0.8685  0.3944  0.8685  4 Ag 2.52-2.68

Summary:
**DOS at the Fermi energy**: 13.0 states/eV/f.u.
**Total magnetic moment**: 3.65 μB/f.u.

Most stable structure, least stable structure: w, x.